Entry 1
This record from OQMD describes LiCoBiB after structural relaxation. The functional is GGA-PBE.

Cell: 4.3034 4.3034 4.3034 Å, 60.00 60.00 60.00°
Atoms (fractional coordinates):
Li  0.0000  0.0000  0.0000
Co  0.7500  0.7500  0.7500
Bi  0.2500  0.2500  0.2500
B  0.5000  0.5000  0.5000

**Size of the total moment**: 0.01 μB/atom

***

Entry 2
This record from OQMD describes LiCoBiB after structural relaxation. The functional is GGA-PBE.

Cell: 4.2569 4.2569 4.2569 Å, 60.00 60.00 60.00°
Atoms (fractional coordinates):
Li  0.0000  0.0000  0.0000
Co  0.5000  0.5000  0.5000
Bi  0.2500  0.2500  0.2500
B  0.7500  0.7500  0.7500

**Size of the total moment**: 0.01 μB/atom

***

Most stable structure, least stable structure: entry 2, entry 1.

***

Entry 1
This record from OQMD describes CuBiBIr after structural relaxation. The functional is GGA-PBE.

Cell: 4.4489 4.4489 4.4489 Å, 60.00 60.00 60.00°
Atoms (fractional coordinates):
Cu  0.0000  0.0000  0.0000
Bi  0.2500  0.2500  0.2500
B  0.7500  0.7500  0.7500
Ir  0.5000  0.5000  0.5000

**Size of the total moment**: 0.00 μB/atom

***

Entry 2
This record from OQMD describes CuBiBIr after structural relaxation. The functional is GGA-PBE.

Cell: 4.4242 4.4242 4.4242 Å, 60.00 60.00 60.00°
Atoms (fractional coordinates):
Cu  0.0000  0.0000  0.0000
Bi  0.2500  0.2500  0.2500
B  0.5000  0.5000  0.5000
Ir  0.7500  0.7500  0.7500

**Size of the total moment**: 0.00 μB/atom

***

Most stable structure, least stable structure: entry 2, entry 1.

***

Entry 1
This record from OQMD describes ErBiB4 after structural relaxation. The functional is GGA-PBE.

Cell: 3.2697 3.2697 8.0582 Å, 90.00 90.00 120.00°
Atoms (fractional coordinates):
Er  0.0000  0.0000  0.0000
Bi  0.0000  0.0000  0.5000
B  0.3333  0.6667  0.2285
B  0.3333  0.6667  0.7715
B  0.6667  0.3333  0.2285
B  0.6667  0.3333  0.7715

**Size of the total moment**: 0.00 μB/atom

***

Entry 2
This record from OQMD describes ErBiB4 after structural relaxation. The functional is GGA-PBE.

Cell: 5.3499 5.3499 5.3499 Å, 145.16 119.82 71.46°
Atoms (fractional coordinates):
Er  0.0000  0.0000  0.0000
Bi  0.5000  0.5000  0.0000
B  0.0660  0.7399  0.3260
B  0.4139  0.7399  0.6740
B  0.5861  0.2601  0.3260
B  0.9340  0.2601  0.6740

**Size of the total moment**: 0.00 μB/atom

***

Most stable structure, least stable structure: entry 1, entry 2.

***

Entry 1
This record from OQMD describes ErBiB after structural relaxation. The functional is GGA-PBE.

Cell: 4.5621 4.5621 4.5621 Å, 60.00 60.00 60.00°
Atoms (fractional coordinates):
Er  0.0000  0.0000  0.0000
Bi  0.5000  0.5000  0.5000
B  0.7500  0.7500  0.7500

**Size of the total moment**: 0.00 μB/atom

***

Entry 2
This record from OQMD describes ErBiB after structural relaxation. The functional is GGA-PBE.

Cell: 4.7950 4.7950 4.7950 Å, 60.00 60.00 60.00°
Atoms (fractional coordinates):
Er  0.0000  0.0000  0.0000
Bi  0.2500  0.2500  0.2500
B  0.7500  0.7500  0.7500

**Size of the total moment**: 0.00 μB/atom

***

Most stable structure, least stable structure: entry 1, entry 2.

***

Entry 1
This record from OQMD describes FeBiB4 after structural relaxation. The functional is GGA-PBE.

Cell: 5.0435 5.0435 5.0435 Å, 144.47 115.24 76.10°
Atoms (fractional coordinates):
Fe  0.0000  0.0000  0.0000
Bi  0.5000  0.5000  0.0000
B  0.0772  0.7407  0.3365
B  0.4043  0.7407  0.6635
B  0.5957  0.2593  0.3365
B  0.9228  0.2593  0.6635

**Size of the total moment**: 0.48 μB/atom

***

Entry 2
This record from OQMD describes FeBiB4 after structural relaxation. The functional is GGA-PBE.

Cell: 3.0465 3.0465 8.3098 Å, 90.00 90.00 120.00°
Atoms (fractional coordinates):
Fe  0.0000  0.0000  0.0000
Bi  0.0000  0.0000  0.5000
B  0.3333  0.6667  0.1772
B  0.3333  0.6667  0.8228
B  0.6667  0.3333  0.1772
B  0.6667  0.3333  0.8228

**Size of the total moment**: 0.38 μB/atom

***

Most stable structure, least stable structure: entry 2, entry 1.

***

Entry 1
This record from OQMD describes NdBiB4 after structural relaxation. The functional is GGA-PBE.

Cell: 5.5163 5.5163 5.5163 Å, 145.84 120.93 70.03°
Atoms (fractional coordinates):
Nd  0.0000  0.0000  0.0000
Bi  0.5000  0.5000  0.0000
B  0.0659  0.7415  0.3244
B  0.4171  0.7415  0.6756
B  0.5829  0.2585  0.3244
B  0.9341  0.2585  0.6756

**Size of the total moment**: 0.00 μB/atom

***

Entry 2
This record from OQMD describes NdBiB4 after structural relaxation. The functional is GGA-PBE.

Cell: 3.2947 3.2947 8.4136 Å, 90.00 90.00 120.00°
Atoms (fractional coordinates):
Nd  0.0000  0.0000  0.0000
Bi  0.0000  0.0000  0.5000
B  0.3333  0.6667  0.2422
B  0.3333  0.6667  0.7578
B  0.6667  0.3333  0.2422
B  0.6667  0.3333  0.7578

**Size of the total moment**: 0.00 μB/atom

***

Most stable structure, least stable structure: entry 1, entry 2.

***

Entry 1
This record from OQMD describes BiB4Pd after structural relaxation. The functional is GGA-PBE.

Cell: 5.3695 5.3695 5.3695 Å, 146.59 121.73 68.86°
Atoms (fractional coordinates):
Bi  0.0000  0.0000  0.0000
B  0.0832  0.7527  0.3305
B  0.4222  0.7527  0.6695
B  0.5778  0.2473  0.3305
B  0.9168  0.2473  0.6695
Pd  0.5000  0.5000  0.0000

***

Entry 2
This record from OQMD describes BiB4Pd after structural relaxation. The functional is GGA-PBE.

Cell: 3.0958 3.0958 8.4467 Å, 90.00 90.00 120.00°
Atoms (fractional coordinates):
Bi  0.0000  0.0000  0.0000
B  0.3333  0.6667  0.2942
B  0.3333  0.6667  0.7058
B  0.6667  0.3333  0.2942
B  0.6667  0.3333  0.7058
Pd  0.0000  0.0000  0.5000

***

Most stable structure, least stable structure: entry 2, entry 1.

***

Entry 1
This record from OQMD describes PuBiB after structural relaxation. The functional is GGA-PBE.

Cell: 4.8594 4.8594 4.8594 Å, 60.00 60.00 60.00°
Atoms (fractional coordinates):
Pu  0.0000  0.0000  0.0000
Bi  0.2500  0.2500  0.2500
B  0.7500  0.7500  0.7500

**Size of the total moment**: 1.93 μB/atom

***

Entry 2
This record from OQMD describes PuBiB after structural relaxation. The functional is GGA-PBE.

Cell: 4.5020 4.5020 4.5020 Å, 60.00 60.00 60.00°
Atoms (fractional coordinates):
Pu  0.0000  0.0000  0.0000
Bi  0.5000  0.5000  0.5000
B  0.7500  0.7500  0.7500

**Size of the total moment**: 1.86 μB/atom

***

Most stable structure, least stable structure: entry 2, entry 1.